(1)
First-principles (GGA-PBE) data for an optimized crystal structure of PmEuCu2, as listed in Alexandria.

a = 5.0751 Å, b = 5.0751 Å, c = 5.0751 Å
α = 60.00°, β = 60.00°, γ = 60.00°
Closest atoms and distances in Å follow each position.
Atoms (fractional coordinates):
Eu1 0.5000 0.5000 0.5000  8 Cu 3.11
Cu1 0.2500 0.2500 0.2500  4 Eu 3.11, 4 Pm 3.11
Cu2 0.7500 0.7500 0.7500  4 Pm 3.11, 4 Eu 3.11
Pm1 0.0000 0.0000 0.0000  8 Cu 3.11

Its space group is No. 225. The size of the total moment comes out at 7.004 μB/cell. The calculation puts the formation enthalpy at 0 K at -109 meV per atom. The volume is 23.1 Å³ per atom. Its relative energy among the computed polymorphs is 20 meV per atom.

***

(2)
First-principles (GGA-PBE) data for an optimized crystal structure of Pa4Te3As, as listed in Alexandria.

a = 7.0764 Å, b = 7.8779 Å, c = 8.3576 Å
α = 90.00°, β = 90.00°, γ = 108.22°
Closest atoms and distances in Å follow each position.
Atoms (fractional coordinates):
As1 0.7500 0.0000 0.8777  6 Pa 2.89
As2 0.2500 0.0000 0.1223  6 Pa 2.89
Pa1 0.9867 0.2377 0.6388  1 As 2.89, 5 Te 3.03-3.18
Pa2 0.5016 0.2301 0.8854  2 As 2.89, 4 Te 3.03-3.18
Pa3 0.4867 0.2377 0.3612  1 As 2.89, 5 Te 3.03-3.18
Pa4 0.0016 0.2301 0.1146  2 As 2.89, 4 Te 3.03-3.18
Pa5 0.9984 0.7699 0.8854  2 As 2.89, 4 Te 3.03-3.18
Pa6 0.5133 0.7623 0.6388  1 As 2.89, 5 Te 3.03-3.18
Pa7 0.4984 0.7699 0.1146  2 As 2.89, 4 Te 3.03-3.18
Pa8 0.0133 0.7623 0.3612  1 As 2.89, 5 Te 3.03-3.18
Te1 0.7500 0.0000 0.3754  6 Pa 3.03
Te2 0.2500 0.0000 0.6246  6 Pa 3.03
Te3 0.7500 0.5000 0.6222  6 Pa 3.04-3.18
Te4 0.7500 0.5000 0.1248  6 Pa 3.04-3.17
Te5 0.2500 0.5000 0.3778  6 Pa 3.04-3.18
Te6 0.2500 0.5000 0.8752  6 Pa 3.04-3.17

Its space group is No. 13. The size of the total moment comes out at 3.836 μB/cell. The volume is 27.7 Å³ per atom. The value obtained for the electronic total energy is -115.436 eV per cell.